A plane-wave DFT calculation with PBE was carried out for a geometry-optimized La4Nd15Dy structure.

Properties
size of the total moment	0.00	Bohr magnetons per cell
E_form	16	meV/atom

The structure in CIF format:
```
data_La4Nd15Dy
_chemical_formula_sum 'La4 Nd15 Dy1'
_cell_length_a 5.223
_cell_length_b 5.223
_cell_length_c 26.058
_cell_angle_alpha 90.00
_cell_angle_beta 90.00
_cell_angle_gamma 90.00
_space_group_name_H-M_alt 'P 4/m m m'
_space_group_IT_number 123
_space_group_name_Hall '-P 4 2'
loop_
_atom_site_label
_atom_site_fract_x
_atom_site_fract_y
_atom_site_fract_z
_atom_site_occupancy
La1 0.000 0.000 0.101 1
La2 0.000 0.000 0.301 1
Nd1 0.000 0.500 0.000 1
Nd2 0.000 0.500 0.201 1
Nd3 0.000 0.500 0.402 1
Nd4 0.500 0.500 0.100 1
Nd5 0.500 0.500 0.302 1
Nd6 0.500 0.500 0.500 1
Dy1 0.000 0.000 0.500 1
```


A plane-wave DFT calculation with PBE was carried out for a geometry-optimized ErTlPbI6 structure.

Properties
ΔE_f (raw)	-976.6	meV/atom
size of the total moment	0.00	Bohr magnetons per cell

The structure in CIF format:
```
data_ErTlPbI6
_chemical_formula_sum 'Er2 Tl2 Pb2 I12'
_cell_length_a 8.0731
_cell_length_b 8.0731
_cell_length_c 15.1673
_cell_angle_alpha 90.00
_cell_angle_beta 90.00
_cell_angle_gamma 120.00
_space_group_name_H-M_alt 'P -3 1 c'
_space_group_IT_number 163
_space_group_name_Hall '-P 3 2c'
loop_
_atom_site_label
_atom_site_fract_x
_atom_site_fract_y
_atom_site_fract_z
_atom_site_occupancy
Er1 0.3333 0.6667 0.2500 1
Tl1 0.0000 0.0000 0.0000 1
Pb1 0.3333 0.6667 0.7500 1
I1 0.0211 0.3728 0.1327 1
```


A plane-wave DFT calculation with PBE was carried out for a geometry-optimized Sr4HN structure.

Properties
size of the total moment	0.00	Bohr magnetons per cell
final energy	-3.386	eV/atom

The structure in CIF format:
```
data_Sr4HN
_chemical_formula_sum 'Sr4 H1 N1'
_cell_length_a 6.731
_cell_length_b 4.017
_cell_length_c 6.765
_cell_angle_alpha 90.00
_cell_angle_beta 90.07
_cell_angle_gamma 90.00
_space_group_name_H-M_alt 'P 1 2/m 1'
_space_group_IT_number 10
loop_
_space_group_symop_operation_xyz
'x,y,z'
'-x,-y,-z'
'-x,y,-z'
'x,-y,z'
loop_
_atom_site_label
_atom_site_fract_x
_atom_site_fract_y
_atom_site_fract_z
_atom_site_occupancy
Sr1 0.212 0.000 0.335 1
Sr2 0.236 0.500 0.801 1
H1 0.000 0.000 0.000 1
N1 0.000 0.500 0.500 1
```


A plane-wave DFT calculation with PBE was carried out for a geometry-optimized LiGa4Co2 structure.

Properties
size of the total moment	0.00	Bohr magnetons per cell
E_form	-271	meV/atom

The structure in CIF format:
```
data_LiGa4Co2
_chemical_formula_sum 'Li3 Ga12 Co6'
_cell_length_a 4.1153
_cell_length_b 4.1153
_cell_length_c 19.6362
_cell_angle_alpha 90.00
_cell_angle_beta 90.00
_cell_angle_gamma 120.00
_space_group_name_H-M_alt 'R -3 m'
_space_group_IT_number 166
_space_group_name_Hall '-R 3 2"'
loop_
_atom_site_label
_atom_site_fract_x
_atom_site_fract_y
_atom_site_fract_z
_atom_site_occupancy
Li1 0.0000 0.0000 0.0000 1
Ga1 0.0000 0.0000 0.1317 1
Ga2 0.0000 0.0000 0.3871 1
Co1 0.0000 0.0000 0.2563 1
```


A plane-wave DFT calculation with PBE was carried out for a geometry-optimized Tl3Ga2Au4 structure.

Properties
size of the total moment	0.00	Bohr magnetons per cell
relative energy among the computed polymorphs	28	meV/atom
E_form	-71	meV/atom

The structure in CIF format:
```
data_Tl3Ga2Au4
_chemical_formula_sum 'Tl12 Ga8 Au16'
_cell_length_a 13.761
_cell_length_b 9.944
_cell_length_c 6.145
_cell_angle_alpha 90.00
_cell_angle_beta 94.45
_cell_angle_gamma 90.00
_space_group_name_H-M_alt 'C 1 2/c 1'
_space_group_IT_number 15
loop_
_space_group_symop_operation_xyz
'x,y,z'
'-x,-y,-z'
'-x,y,-z+1/2'
'x,-y,z+1/2'
'x+1/2,y+1/2,z'
'-x+1/2,-y+1/2,-z'
'-x+1/2,y+1/2,-z+1/2'
'x+1/2,-y+1/2,z+1/2'
loop_
_atom_site_label
_atom_site_fract_x
_atom_site_fract_y
_atom_site_fract_z
_atom_site_occupancy
Tl1 0.000 0.019 0.250 1
Tl2 0.102 0.395 0.879 1
Ga1 0.217 0.126 0.585 1
Au1 0.097 0.296 0.360 1
Au2 0.181 0.126 0.999 1
```


A plane-wave DFT calculation with PBE was carried out for a geometry-optimized YTl2Zn2 structure.

Properties
size of the total moment	0.74	Bohr magnetons per cell
relative energy among the computed polymorphs	118	meV/atom
E_form	41	meV/atom

The structure in CIF format:
```
data_YTl2Zn2
_chemical_formula_sum 'Y2 Tl4 Zn4'
_cell_length_a 8.299
_cell_length_b 8.299
_cell_length_c 3.465
_cell_angle_alpha 90.00
_cell_angle_beta 90.00
_cell_angle_gamma 90.00
_space_group_name_H-M_alt 'P 4/m b m'
_space_group_IT_number 127
_space_group_name_Hall '-P 4 2ab'
loop_
_atom_site_label
_atom_site_fract_x
_atom_site_fract_y
_atom_site_fract_z
_atom_site_occupancy
Y1 0.000 0.000 0.000 1
Tl1 0.136 0.364 0.000 1
Zn1 0.165 0.665 0.500 1
```


A plane-wave DFT calculation with PBE was carried out for a geometry-optimized Ni2PbN structure.

Properties
ΔE_f (raw)	1124.0	meV/atom
size of the total moment	3.81	Bohr magnetons per cell
relative energy among the computed polymorphs	968	meV/atom

The structure in CIF format:
```
data_Ni2PbN
_chemical_formula_sum 'Ni8 Pb4 N4'
_cell_length_a 5.989
_cell_length_b 5.989
_cell_length_c 5.989
_cell_angle_alpha 90.00
_cell_angle_beta 90.00
_cell_angle_gamma 90.00
_space_group_name_H-M_alt 'F m -3 m'
_space_group_IT_number 225
_space_group_name_Hall '-F 4 2 3'
loop_
_atom_site_label
_atom_site_fract_x
_atom_site_fract_y
_atom_site_fract_z
_atom_site_occupancy
Ni1 0.250 0.250 0.250 1
Pb1 0.000 0.000 0.000 1
N1 0.000 0.000 0.500 1
```


A plane-wave DFT calculation with PBE was carried out for a geometry-optimized RbBaLi2Au structure.

Properties
size of the total moment	0.37	Bohr magnetons per cell
E_form	-103	meV/atom

The structure in CIF format:
```
data_RbBaLi2Au
_chemical_formula_sum 'Rb1 Ba1 Li2 Au1'
_cell_length_a 5.601
_cell_length_b 5.601
_cell_length_c 6.153
_cell_angle_alpha 90.00
_cell_angle_beta 90.00
_cell_angle_gamma 90.00
_space_group_name_H-M_alt 'P 4/m m m'
_space_group_IT_number 123
_space_group_name_Hall '-P 4 2'
loop_
_atom_site_label
_atom_site_fract_x
_atom_site_fract_y
_atom_site_fract_z
_atom_site_occupancy
Rb1 0.000 0.000 0.000 1
Ba1 0.500 0.500 0.000 1
Li1 0.000 0.500 0.500 1
Au1 0.500 0.500 0.500 1
```


A plane-wave DFT calculation with PBE was carried out for a geometry-optimized PmTlSnI6 structure.

Properties
ΔE_f (raw)	-946.1	meV/atom
size of the total moment	0.00	Bohr magnetons per cell

The structure in CIF format:
```
data_PmTlSnI6
_chemical_formula_sum 'Pm2 Tl2 Sn2 I12'
_cell_length_a 8.1062
_cell_length_b 8.1062
_cell_length_c 15.2467
_cell_angle_alpha 90.00
_cell_angle_beta 90.00
_cell_angle_gamma 120.00
_space_group_name_H-M_alt 'P -3 1 c'
_space_group_IT_number 163
_space_group_name_Hall '-P 3 2c'
loop_
_atom_site_label
_atom_site_fract_x
_atom_site_fract_y
_atom_site_fract_z
_atom_site_occupancy
Pm1 0.3333 0.6667 0.2500 1
Tl1 0.0000 0.0000 0.0000 1
Sn1 0.3333 0.6667 0.7500 1
I1 0.0077 0.3651 0.1321 1
```


A plane-wave DFT calculation with PBE was carried out for a geometry-optimized SmTmIn structure.

Properties
size of the total moment	0.00	Bohr magnetons per cell
relative energy among the computed polymorphs	85	meV/atom
E_form	-257	meV/atom

The structure in CIF format:
```
data_SmTmIn
_chemical_formula_sum 'Sm2 Tm2 In2'
_cell_length_a 3.528
_cell_length_b 4.545
_cell_length_c 10.530
_cell_angle_alpha 90.00
_cell_angle_beta 90.00
_cell_angle_gamma 90.00
_space_group_name_H-M_alt 'I m m 2'
_space_group_IT_number 44
loop_
_space_group_symop_operation_xyz
'x,y,z'
'-x,-y,z'
'-x,y,z'
'x,-y,z'
'x+1/2,y+1/2,z+1/2'
'-x+1/2,-y+1/2,z+1/2'
'-x+1/2,y+1/2,z+1/2'
'x+1/2,-y+1/2,z+1/2'
loop_
_atom_site_label
_atom_site_fract_x
_atom_site_fract_y
_atom_site_fract_z
_atom_site_occupancy
Sm1 0.000 0.000 0.000 1
Tm1 0.000 0.000 0.309 1
In1 0.000 0.000 0.664 1
```


A plane-wave DFT calculation with PBE was carried out for a geometry-optimized SmRuPb2O8 structure.

Properties
ΔE_f (raw)	-1339.7	meV/atom
size of the total moment	2.61	Bohr magnetons per cell

The structure in CIF format:
```
data_SmRuPb2O8
_chemical_formula_sum 'Sm1 Ru1 Pb2 O8'
_cell_length_a 5.028
_cell_length_b 6.783
_cell_length_c 5.046
_cell_angle_alpha 90.00
_cell_angle_beta 90.79
_cell_angle_gamma 90.00
_space_group_name_H-M_alt 'P 1 2/m 1'
_space_group_IT_number 10
loop_
_space_group_symop_operation_xyz
'x,y,z'
'-x,-y,-z'
'-x,y,-z'
'x,-y,z'
loop_
_atom_site_label
_atom_site_fract_x
_atom_site_fract_y
_atom_site_fract_z
_atom_site_occupancy
Sm1 0.000 0.000 0.000 1
Ru1 0.000 0.500 0.000 1
Pb1 0.500 0.257 0.500 1
O1 0.190 0.286 0.181 1
O2 0.278 0.500 0.712 1
O3 0.309 0.000 0.679 1
```


A plane-wave DFT calculation with PBE was carried out for a geometry-optimized FePPbS2 structure.

Properties
ΔE_f (raw)	127.4	meV/atom
size of the total moment	1.87	Bohr magnetons per cell
relative energy among the computed polymorphs	0	meV/atom

The structure in CIF format:
```
data_FePPbS2
_chemical_formula_sum 'Fe1 P1 Pb1 S2'
_cell_length_a 4.854
_cell_length_b 4.854
_cell_length_c 4.218
_cell_angle_alpha 90.00
_cell_angle_beta 90.00
_cell_angle_gamma 90.00
_space_group_name_H-M_alt 'P 4/m m m'
_space_group_IT_number 123
_space_group_name_Hall '-P 4 2'
loop_
_atom_site_label
_atom_site_fract_x
_atom_site_fract_y
_atom_site_fract_z
_atom_site_occupancy
Fe1 0.000 0.000 0.000 1
P1 0.000 0.000 0.500 1
Pb1 0.500 0.500 0.500 1
S1 0.000 0.500 0.000 1
```